Here is Rb2Pu3VO12 after structural relaxation from Alexandria via LeMat-Bulk. Energies are from PBE with a Hubbard U.

## Properties
Total magnetic moment (μB/cell): 21.00
Total DFT energy (no corrections) (eV per atom): -8.563

The structure in CIF format:
```
data_Rb2Pu3VO12
_chemical_formula_sum 'Rb6 Pu9 V3 O36'
_space_group_name_H-M_alt 'R -3 m'
_space_group_IT_number 166
_space_group_name_Hall '-R 3 2"'
_cell_length_a 7.8086
_cell_length_b 7.8086
_cell_length_c 17.7915
_cell_angle_alpha 90.00
_cell_angle_beta 90.00
_cell_angle_gamma 120.00
loop_
_atom_site_label
_atom_site_type_symbol
_atom_site_fract_x
_atom_site_fract_y
_atom_site_fract_z
_atom_site_occupancy
Rb1 Rb 0.0000 0.0000 0.1325 1
Pu1 Pu 0.0000 0.5000 0.0000 1
V1 V 0.0000 0.0000 0.5000 1
O1 O 0.0790 0.5395 0.3632 1
O2 O 0.0928 0.5464 0.1050 1
```